1.
# Sc2ZnCo5B2

A relaxed Sc2ZnCo5B2 crystal (PBE-GGA, Alexandria via LeMat-Bulk).

Results
Energy of formation from the pure elements in eV/f.u.: -4.7
Space group: P4/mbm, No. 127
Uncorrected energy in eV per atom: -6.752

abc: 2.9456 8.7661 8.7661
angles: 90.00 90.00 90.00
Fractional positions:
Co (0.5000, 0.5000, 0.0000)
B (0.0000, 0.3787, 0.1213)
Co (0.5000, 0.9312, 0.2235)
Zn (0.0000, 0.0000, 0.0000)
Zn (0.0000, 0.5000, 0.5000)
Co (0.5000, 0.2235, 0.0688)
Co (0.5000, 0.5688, 0.7235)
Co (0.5000, 0.0688, 0.7765)
B (0.0000, 0.6213, 0.8787)
B (0.0000, 0.1213, 0.6213)
Sc (0.0000, 0.1759, 0.3241)
Co (0.5000, 0.7235, 0.4312)
Sc (0.0000, 0.6759, 0.1759)
B (0.0000, 0.8787, 0.3787)
Co (0.5000, 0.4312, 0.2765)
Sc (0.0000, 0.8241, 0.6759)
Co (0.5000, 0.0000, 0.5000)
Co (0.5000, 0.2765, 0.5688)
Sc (0.0000, 0.3241, 0.8241)
Co (0.5000, 0.7765, 0.9312)

2.
# Co2BSe

A relaxed Co2BSe crystal (PBE-GGA, Alexandria via LeMat-Bulk).

Results
Space group: I-42d, No. 122
Energy relative to the lowest polymorph listed for this composition in eV per formula unit: 0.00
E_form (uncorrected) in eV per atom: 0.21
Uncorrected energy in eV per atom: -5.881

abc: 4.6600 4.6600 6.0366
angles: 67.30 67.30 90.00
Fractional positions:
Se (0.0000, 0.0000, 0.0000)
B (0.5000, 0.5000, 0.0000)
B (0.2500, 0.7500, 0.5000)
Co (0.5530, 0.1250, 0.2500)
Co (0.1970, 0.6250, 0.2500)
Co (0.3750, 0.4470, 0.7500)
Se (0.7500, 0.2500, 0.5000)
Co (0.8750, 0.8030, 0.7500)

3.
# Co2BSe

A relaxed Co2BSe crystal (PBE-GGA, Alexandria via LeMat-Bulk).

Results
Space group: Fm-3m, No. 225
Energy relative to the lowest polymorph listed for this composition in eV per formula unit: 1.30
E_form (uncorrected) in eV per atom: 0.54
Uncorrected energy in eV per atom: -5.556

abc: 3.9568 3.9568 3.9568
angles: 60.00 60.00 60.00
Fractional positions:
B (0.0000, 0.0000, 0.0000)
Co (0.2500, 0.2500, 0.2500)
Co (0.7500, 0.7500, 0.7500)
Se (0.5000, 0.5000, 0.5000)

4.
# CoBSe3

A relaxed CoBSe3 crystal (PBE-GGA, Alexandria via LeMat-Bulk).

Results
Space group: Pm-3m, No. 221
Energy relative to the lowest polymorph listed for this composition in eV per formula unit: 0.00
E_form (uncorrected) in eV per atom: 0.98
Uncorrected energy in eV per atom: -3.872

abc: 4.4168 4.4168 4.4168
angles: 90.00 90.00 90.00
Fractional positions:
Se (0.5000, 0.0000, 0.0000)
Se (0.0000, 0.0000, 0.5000)
Co (0.5000, 0.5000, 0.5000)
B (0.0000, 0.0000, 0.0000)
Se (0.0000, 0.5000, 0.0000)

5.
# CoBSe3

A relaxed CoBSe3 crystal (PBE-GGA, Alexandria via LeMat-Bulk).

Results
Space group: Pm-3m, No. 221
Energy relative to the lowest polymorph listed for this composition in eV per formula unit: 1.00
E_form (uncorrected) in eV per atom: 1.17
Uncorrected energy in eV per atom: -3.673

abc: 4.6871 4.6871 4.6871
angles: 90.00 90.00 90.00
Fractional positions:
Se (0.0000, 0.0000, 0.5000)
Co (0.0000, 0.0000, 0.0000)
Se (0.5000, 0.0000, 0.0000)
B (0.5000, 0.5000, 0.5000)
Se (0.0000, 0.5000, 0.0000)

6.
# CoBSe

A relaxed CoBSe crystal (PBE-GGA, Alexandria via LeMat-Bulk).

Results
Space group: Fdd2, No. 43
E_form (uncorrected) in eV per atom: 0.29
Uncorrected energy in eV per atom: -5.467

abc: 5.8827 5.8437 5.8827
angles: 68.46 74.31 111.54
Fractional positions:
Se (0.2571, 0.7367, 0.3894)
B (0.1532, 0.8146, 0.8486)
B (0.5885, 0.6854, 0.9132)
Se (0.7704, 0.7633, 0.3761)
Co (0.7509, 0.5131, 0.1364)
Se (0.8739, 0.2633, 0.4796)
Co (0.4878, 0.9869, 0.8995)
Co (0.3505, 0.4869, 0.7622)
B (0.3368, 0.1854, 0.6615)
Co (0.1136, 0.0131, 0.4991)
Se (0.8606, 0.2367, 0.9929)
B (0.4014, 0.3146, 0.0968)

7.
# CoB3Se

A relaxed CoB3Se crystal (PBE-GGA, Alexandria via LeMat-Bulk).

Results
Space group: Pm-3m, No. 221
Energy relative to the lowest polymorph listed for this composition in eV per formula unit: 5.44
E_form (uncorrected) in eV per atom: 2.27
Uncorrected energy in eV per atom: -3.855

abc: 4.0460 4.0460 4.0460
angles: 90.00 90.00 90.00
Fractional positions:
Se (0.0000, 0.0000, 0.0000)
Co (0.5000, 0.5000, 0.5000)
B (0.0000, 0.5000, 0.0000)
B (0.0000, 0.0000, 0.5000)
B (0.5000, 0.0000, 0.0000)

8.
# CoB3Se

A relaxed CoB3Se crystal (PBE-GGA, Alexandria via LeMat-Bulk).

Results
Space group: Pm-3m, No. 221
Energy relative to the lowest polymorph listed for this composition in eV per formula unit: 0.00
E_form (uncorrected) in eV per atom: 1.18
Uncorrected energy in eV per atom: -4.943

abc: 3.8847 3.8847 3.8847
angles: 90.00 90.00 90.00
Fractional positions:
B (0.5000, 0.0000, 0.0000)
B (0.0000, 0.5000, 0.0000)
B (0.0000, 0.0000, 0.5000)
Co (0.0000, 0.0000, 0.0000)
Se (0.5000, 0.5000, 0.5000)

9.
# Co2TcBSe

A relaxed Co2TcBSe crystal (PBE-GGA, Alexandria via LeMat-Bulk).

Results
Space group: P4/mmm, No. 123
E_form (uncorrected) in eV per atom: 1.52
Uncorrected energy in eV per atom: -5.430

abc: 4.2764 4.0918 4.2764
angles: 90.00 90.00 90.00
Fractional positions:
Co (0.5000, 0.0000, 0.0000)
Tc (0.5000, 0.5000, 0.5000)
Se (0.0000, 0.0000, 0.0000)
Co (0.0000, 0.0000, 0.5000)
B (0.0000, 0.5000, 0.0000)

10.
# YCoBSe2

A relaxed YCoBSe2 crystal (PBE-GGA, Alexandria via LeMat-Bulk).

Results
Space group: P4/mmm, No. 123
E_form (uncorrected) in eV per atom: 1.05
Uncorrected energy in eV per atom: -4.393

abc: 5.4102 4.7633 5.4102
angles: 90.00 90.00 90.00
Fractional positions:
B (0.0000, 0.5000, 0.0000)
Co (0.5000, 0.5000, 0.5000)
Y (0.0000, 0.0000, 0.0000)
Se (0.5000, 0.0000, 0.0000)
Se (0.0000, 0.0000, 0.5000)

11.
# CoSi2B2

A relaxed CoSi2B2 crystal (PBE-GGA, Alexandria via LeMat-Bulk).

Results
Space group: P4/mbm, No. 127
Energy relative to the lowest polymorph listed for this composition in eV per formula unit: 2.39
E_form (uncorrected) in eV per atom: 0.78
Uncorrected energy in eV per atom: -5.485

abc: 5.9163 5.9163 2.9567
angles: 90.00 90.00 90.00
Fractional positions:
B (0.6815, 0.8185, 0.5000)
Si (0.3634, 0.8634, 0.0000)
B (0.8185, 0.3185, 0.5000)
Si (0.6366, 0.1366, 0.0000)
Co (0.0000, 0.0000, 0.0000)
B (0.1815, 0.6815, 0.5000)
Si (0.1366, 0.3634, 0.0000)
B (0.3185, 0.1815, 0.5000)
Co (0.5000, 0.5000, 0.0000)
Si (0.8634, 0.6366, 0.0000)

12.
# CoSi2B2

A relaxed CoSi2B2 crystal (PBE-GGA, Alexandria via LeMat-Bulk).

Results
Space group: I4/mmm, No. 139
Energy relative to the lowest polymorph listed for this composition in eV per formula unit: 0.00
E_form (uncorrected) in eV per atom: 0.30
Uncorrected energy in eV per atom: -5.962

abc: 2.6767 2.6767 6.8397
angles: 78.72 78.72 90.00
Fractional positions:
Co (0.0000, 0.0000, 0.0000)
Si (0.3809, 0.3809, 0.2381)
Si (0.6191, 0.6191, 0.7619)
B (0.7500, 0.2500, 0.5000)
B (0.2500, 0.7500, 0.5000)

13.
# CoSiB2

A relaxed CoSiB2 crystal (PBE-GGA, Alexandria via LeMat-Bulk).

Results
Space group: I-42d, No. 122
E_form (uncorrected) in eV per atom: 0.60
Uncorrected energy in eV per atom: -5.873

abc: 4.7318 4.7318 5.4016
angles: 64.02 64.02 90.00
Fractional positions:
B (0.6472, 0.1250, 0.2500)
Si (0.2500, 0.7500, 0.5000)
Co (0.7500, 0.2500, 0.5000)
B (0.8750, 0.8972, 0.7500)
Co (0.0000, 0.0000, 0.0000)
Si (0.5000, 0.5000, 0.0000)
B (0.3750, 0.3528, 0.7500)
B (0.1028, 0.6250, 0.2500)

14.
# Co2SiB2

A relaxed Co2SiB2 crystal (PBE-GGA, Alexandria via LeMat-Bulk).

Results
Space group: I4/mmm, No. 139
E_form (uncorrected) in eV per atom: -0.26
Uncorrected energy in eV per atom: -6.859

abc: 2.8196 2.8196 5.9488
angles: 76.29 76.29 90.00
Fractional positions:
Si (0.0000, 0.0000, 0.0000)
B (0.7500, 0.2500, 0.5000)
B (0.2500, 0.7500, 0.5000)
Co (0.6168, 0.6168, 0.7663)
Co (0.3832, 0.3832, 0.2337)

15.
# Sm3Co29Si4B10

A relaxed Sm3Co29Si4B10 crystal (PBE-GGA, Alexandria via LeMat-Bulk).

Results
Space group: P4/nmm, No. 129
E_form (uncorrected) in eV per atom: -0.41
Uncorrected energy in eV per atom: -7.117

abc: 7.8365 11.1498 11.1498
angles: 90.00 90.00 90.00
Fractional positions:
Co (0.7488, 0.3854, 0.1146)
Sm (0.0000, 0.7500, 0.2500)
Sm (0.0000, 0.2500, 0.7500)
B (0.4822, 0.1860, 0.3140)
Co (0.1113, 0.5000, 0.3898)
Sm (0.5000, 0.5000, 0.5000)
B (0.4822, 0.1860, 0.6860)
Co (0.3367, 0.8254, 0.1617)
Co (0.8887, 0.3898, 0.5000)
B (0.5178, 0.3140, 0.8140)
Sm (0.5000, 0.0000, 0.0000)
Co (0.6633, 0.6746, 0.6617)
Co (0.6633, 0.8383, 0.1746)
Co (0.1113, 0.8898, 0.0000)
B (0.7374, 0.2561, 0.5000)
Co (0.6633, 0.8383, 0.8254)
Co (0.4744, 0.7734, 0.5000)
Co (0.6988, 0.8901, 0.3901)
Si (0.8246, 0.5000, 0.3183)
Co (0.3367, 0.1746, 0.1617)
Co (0.5256, 0.5000, 0.7734)
Co (0.3367, 0.1746, 0.8383)
Co (0.9712, 0.1642, 0.5000)
Si (0.1754, 0.3183, 0.5000)
Co (0.1113, 0.5000, 0.6102)
B (0.2626, 0.5000, 0.7439)
Si (0.8246, 0.8183, 0.0000)
Co (0.7488, 0.6146, 0.8854)
Co (0.4744, 0.0000, 0.7266)
Co (0.6633, 0.1617, 0.1746)
Co (0.3367, 0.6617, 0.6746)
Co (0.1113, 0.1102, 0.0000)
Co (0.3012, 0.6099, 0.1099)
Co (0.6633, 0.6746, 0.3383)
B (0.7374, 0.0000, 0.2439)
B (0.2626, 0.7561, 0.0000)
Si (0.8246, 0.1817, 0.0000)
Co (0.5256, 0.5000, 0.2266)
Co (0.4682, 0.0000, 0.5000)
Co (0.2512, 0.1146, 0.3854)
B (0.5178, 0.6860, 0.8140)
B (0.8516, 0.0000, 0.5000)
Co (0.8887, 0.6102, 0.5000)
Co (0.6633, 0.3254, 0.3383)
Co (0.9712, 0.8358, 0.5000)
Co (0.0288, 0.5000, 0.8358)
Co (0.3012, 0.3901, 0.1099)
Co (0.5256, 0.7266, 0.0000)
Co (0.0288, 0.3358, 0.0000)
B (0.2626, 0.2439, 0.0000)
Co (0.0288, 0.5000, 0.1642)
Si (0.1754, 0.6817, 0.5000)
Co (0.6988, 0.1099, 0.3901)
B (0.7374, 0.7439, 0.5000)
B (0.7374, 0.0000, 0.7561)
B (0.1484, 0.5000, 0.0000)
B (0.5178, 0.6860, 0.1860)
Co (0.3012, 0.6099, 0.8901)
Co (0.3367, 0.3383, 0.6746)
Co (0.0288, 0.6642, 0.0000)
B (0.1069, 0.0000, 0.5000)
Co (0.3012, 0.3901, 0.8901)
B (0.8931, 0.5000, 0.0000)
Co (0.5318, 0.5000, 0.0000)
Co (0.7488, 0.3854, 0.8854)
Co (0.6633, 0.3254, 0.6617)
Co (0.5256, 0.2734, 0.0000)
Co (0.2512, 0.8854, 0.6146)
Si (0.1754, 0.0000, 0.8183)
Co (0.2512, 0.8854, 0.3854)
Sm (0.0000, 0.2500, 0.2500)
Co (0.6988, 0.1099, 0.6099)
B (0.5178, 0.3140, 0.1860)
Co (0.3367, 0.3383, 0.3254)
Co (0.7488, 0.6146, 0.1146)
Co (0.4744, 0.2266, 0.5000)
Co (0.3367, 0.6617, 0.3254)
Co (0.4744, 0.0000, 0.2734)
Co (0.2512, 0.1146, 0.6146)
Co (0.8887, 0.0000, 0.1102)
B (0.4822, 0.8140, 0.3140)
Co (0.8887, 0.0000, 0.8898)
Si (0.8246, 0.5000, 0.6817)
B (0.4822, 0.8140, 0.6860)
Co (0.3367, 0.8254, 0.8383)
Co (0.9712, 0.0000, 0.6642)
Co (0.6633, 0.1617, 0.8254)
Si (0.1754, 0.0000, 0.1817)
Co (0.9712, 0.0000, 0.3358)
Sm (0.0000, 0.7500, 0.7500)
B (0.2626, 0.5000, 0.2561)
Co (0.6988, 0.8901, 0.6099)

16.
# SmCo3SiB

A relaxed SmCo3SiB crystal (PBE-GGA, Alexandria via LeMat-Bulk).

Results
Space group: Cmcm, No. 63
E_form (uncorrected) in eV per atom: -0.38
Uncorrected energy in eV per atom: -6.736

abc: 5.5243 5.3645 6.1335
angles: 115.93 90.00 90.00
Fractional positions:
Co (0.0000, 0.2515, 0.0000)
B (0.7500, 0.0009, 0.0017)
Si (0.2500, 0.3790, 0.7580)
Sm (0.7500, 0.2601, 0.5203)
B (0.2500, 0.9991, 0.9983)
Co (0.5000, 0.7485, 0.0000)
Sm (0.2500, 0.7399, 0.4797)
Co (0.7500, 0.8234, 0.6468)
Co (0.0000, 0.7485, 0.0000)
Co (0.5000, 0.2515, 0.0000)
Si (0.7500, 0.6210, 0.2420)
Co (0.2500, 0.1766, 0.3532)

Number 1: total magnetization 0.0 Bohr magnetons per cell. Number 2: total magnetization 0.0 Bohr magnetons per cell. Number 3: total magnetization 2.0 Bohr magnetons per cell. Number 4: total magnetization 2.3 Bohr magnetons per cell. Number 5: total magnetization 1.9 Bohr magnetons per cell. Number 6: total magnetization 0.0 Bohr magnetons per cell. Number 7: total magnetization 1.8 Bohr magnetons per cell. Number 8: total magnetization 0.0 Bohr magnetons per cell. Number 9: total magnetization 4.8 Bohr magnetons per cell. Number 10: total magnetization 2.2 Bohr magnetons per cell. Number 11: total magnetization 0.6 Bohr magnetons per cell. Number 12: total magnetization 0.0 Bohr magnetons per cell. Number 13: total magnetization 0.0 Bohr magnetons per cell. Number 14: total magnetization 0.0 Bohr magnetons per cell. Number 15: total magnetization 37.4 Bohr magnetons per cell. Number 16: total magnetization 0.0 Bohr magnetons per cell.